Compound: Zn2MoIr
Source: Alexandria
Functional: GGA-PBE
Structure: relaxed

Computed properties:
As for the volume: 14.85 Å³/atom. The symmetry is No. 65. The value obtained for the energy relative to the elements is 0.141 eV per atom. As for the magnetic moment: 0.000 Bohr magnetons per cell. Its relative energy among the computed polymorphs is 28.4 kJ per mole of atoms.

Structure (CIF):
```
data_Zn2MoIr
_chemical_formula_sum 'Zn2 Mo1 Ir1'
_cell_length_a 4.877
_cell_length_b 4.877
_cell_length_c 2.761
_cell_angle_alpha 90.00
_cell_angle_beta 90.00
_cell_angle_gamma 115.27
_symmetry_space_group_name_H-M 'P 1'
_symmetry_Int_Tables_number 1
loop_
_symmetry_equiv_pos_as_xyz
'x,y,z'
loop_
_atom_site_label
_atom_site_type_symbol
_atom_site_fract_x
_atom_site_fract_y
_atom_site_fract_z
Zn1 Zn 0.000 0.000 0.000
Mo1 Mo 0.000 0.500 0.500
Zn2 Zn 0.500 0.500 0.000
Ir1 Ir 0.500 0.000 0.500
```